# 1
A plane-wave DFT calculation with PBE-GGA was carried out for NaSeS2N after structural relaxation.

Summary:
Final energy = -17.953 eV for the cell shown
Energy above the lowest structure with this stoichiometry = 0.037 eV/atom
Theoretical density = 3766 kg/m3

Unit cell a=4.095 b=4.736 c=4.095 alpha=90.00 beta=90.00 gamma=90.00
Positions (direct):
Na (0.000, 0.500, 0.000)
S (0.000, 0.000, 0.500)
S (0.500, 0.000, 0.000)
Se (0.500, 0.500, 0.500)
N (0.000, 0.000, 0.000)

# 2
A plane-wave DFT calculation with PBE-GGA was carried out for NaSe2SN after structural relaxation.

Summary:
Final energy = -12.687 eV for the cell shown
Energy above the lowest structure with this stoichiometry = 1.129 eV/atom
Theoretical density = 3270 kg/m3

Unit cell a=5.208 b=5.208 c=4.250 alpha=90.00 beta=90.00 gamma=90.00
Each line ends with the local moment (μB).
Positions (direct):
Na (0.000, 0.000, 0.000)  0.02
S (0.500, 0.500, 0.500)  0.04
Se (0.000, 0.500, 0.000)  0.07
Se (0.500, 0.000, 0.000)  0.07
N (0.000, 0.000, 0.500)  1.72